La4NdRh2 after structural relaxation. Source: Alexandria via LeMat-Bulk, functional GGA-PBE.

The structure in POSCAR format:
```
La4NdRh2
1.0
8.1565 0.0000 0.0000
0.0000 6.6870 0.0000
-3.5949 0.0000 7.5369
La Nd Rh
8 2 4
Direct
0.1255 0.2500 0.4860
0.1572 0.7500 0.2245
0.2825 0.5072 0.9137
0.2825 0.9928 0.9137
0.7175 0.0072 0.0863
0.7175 0.4928 0.0863
0.8428 0.2500 0.7755
0.8745 0.7500 0.5140
0.4754 0.2500 0.3479
0.5246 0.7500 0.6521
0.0891 0.2500 0.1487
0.4915 0.2500 0.7203
0.5085 0.7500 0.2797
0.9109 0.7500 0.8513
```

## Properties
Fermi-level density of states   14.78 states/eV/cell
Symmetry   P2_1/m (11)
DFT formation energy   -0.4070 eV per atom
Crystal system   monoclinic
Size of the total moment   0.00 μB per cell

LaNd2Rh2 after structural relaxation. Source: Alexandria via LeMat-Bulk, functional GGA-PBE.

The structure in POSCAR format:
```
LaNd2Rh2
1.0
2.0632 -10.1454 0.0000
2.0632 10.1454 0.0000
0.0000 0.0000 6.3766
La Nd Rh
2 4 4
Direct
0.1326 0.8674 0.5000
0.8674 0.1326 0.0000
0.3198 0.6802 0.4972
0.4986 0.5014 0.7437
0.5014 0.4986 0.2437
0.6802 0.3198 0.9972
0.0721 0.9279 0.9913
0.2833 0.7167 0.9981
0.7167 0.2833 0.4981
0.9279 0.0721 0.4913
```

## Properties
Fermi-level density of states   6.85 states/eV/cell
Symmetry   Cmc2_1 (36)
DFT formation energy   -0.5089 eV per atom
Crystal system   orthorhombic
Size of the total moment   0.00 μB per cell

LaNdRuRh after structural relaxation. Source: Alexandria via LeMat-Bulk, functional GGA-PBE.

The structure in POSCAR format:
```
LaNdRuRh
1.0
0.0000 3.5539 3.5539
3.5539 0.0000 3.5539
3.5539 3.5539 0.0000
La Nd Ru Rh
1 1 1 1
Direct
0.0000 0.0000 0.0000
0.5000 0.5000 0.5000
0.7500 0.7500 0.7500
0.2500 0.2500 0.2500
```

## Properties
Fermi-level density of states   2.99 states/eV/cell
Symmetry   F-43m (216)
DFT formation energy   -0.3513 eV per atom
Crystal system   cubic
Size of the total moment   0.00 μB per cell

LaNdSiRh after structural relaxation. Source: Alexandria via LeMat-Bulk, functional GGA-PBE.

The structure in POSCAR format:
```
LaNdSiRh
1.0
4.1251 0.0000 0.0000
0.0000 2.1660 5.4779
0.0000 -2.1660 5.4779
La Nd Si Rh
1 1 1 1
Direct
0.0000 0.0000 0.0000
0.5000 0.7201 0.7201
0.0000 0.2941 0.2941
0.5000 0.4315 0.4315
```

## Properties
Fermi-level density of states   3.38 states/eV/cell
ΔE_f (raw)   -759 meV per atom
Symmetry   Amm2 (38)
Crystal system   orthorhombic
Size of the total moment   0.00 μB per cell

LaNdSn2Rh5 after structural relaxation. Source: Alexandria via LeMat-Bulk, functional GGA-PBE.

The structure in POSCAR format:
```
LaNdSn2Rh5
1.0
4.3769 0.0000 0.0000
0.0000 4.3769 0.0000
0.0000 0.0000 9.4824
La Nd Sn Rh
1 1 2 5
Direct
0.0000 0.0000 0.0000
0.0000 0.0000 0.5000
0.5000 0.5000 0.3509
0.5000 0.5000 0.6491
0.0000 0.5000 0.2104
0.0000 0.5000 0.7896
0.5000 0.0000 0.2104
0.5000 0.0000 0.7896
0.5000 0.5000 0.0000
```

## Properties
Fermi-level density of states   7.73 states/eV/cell
Symmetry   P4/mmm (123)
DFT formation energy   -0.4902 eV per atom
Crystal system   tetragonal
Size of the total moment   0.00 μB per cell

LaNdTh2Rh4 after structural relaxation. Source: Alexandria via LeMat-Bulk, functional GGA-PBE.

The structure in POSCAR format:
```
LaNdTh2Rh4
1.0
0.0000 5.7957 4.1106
4.1095 0.0000 4.1106
4.1095 5.7957 0.0000
La Nd Th Rh
1 1 2 4
Direct
0.0000 0.0000 0.0000
0.5004 0.5004 0.4996
0.2494 0.2494 0.2506
0.7494 0.7494 0.7506
0.0004 0.5000 0.9996
0.2501 0.7485 0.2515
0.5000 0.0004 0.5000
0.7485 0.2501 0.7499
```

## Properties
Fermi-level density of states   5.96 states/eV/cell
Symmetry   Fmm2 (42)
DFT formation energy   -0.7455 eV per atom
Crystal system   orthorhombic
Size of the total moment   0.00 μB per cell

- What is the size of the total moment in the sixth record?
  0.00 μB per cell

- Which of these has the highest Fermi-level density of states?
  La4NdRh2

- Which formula does entry 3 have?
  LaNdRuRh

- The highest Fermi-level density of states belongs to which entry?
  La4NdRh2